Nb6Fe5Tc: relaxed, PBE.

a = 4.396 Å, b = 6.185 Å, c = 6.937 Å
α = 90.00°, β = 108.52°, γ = 90.00°
Site moments in Bohr magnetons follow the coordinates.
Fractional positions:
Fe (0.667, 0.000, 0.335)  1.34
Fe (0.667, 0.500, 0.333)  1.34
Fe (0.333, 0.500, 0.667)  1.34
Fe (0.333, 0.000, 0.665)  1.34
Fe (0.000, 0.500, 0.000)  1.30
Nb (0.169, 0.748, 0.337)  -0.26
Nb (0.831, 0.252, 0.663)  -0.26
Nb (0.169, 0.252, 0.337)  -0.26
Nb (0.500, 0.254, 0.000)  -0.22
Nb (0.831, 0.748, 0.663)  -0.26
Nb (0.500, 0.746, 0.000)  -0.22
Tc (0.000, 0.000, 0.000)  -0.01

Results
For the density of states at the Fermi level, the calculation gives 10.85 states/eV per cell. Its calculated formation energy is -0.080 eV/atom.